Record 1
Here is a relaxed La2CoAg crystal from Alexandria via LeMat-Bulk. Energies are from GGA-PBE.

Structure (extended XYZ):
```
4
Lattice="7.239 -0.033 -0.020 5.913 4.175 -0.020 5.913 1.862 3.737" Properties=species:S:1:pos:R:3 pbc="T T T"
Ag 8.721 2.747 1.691
Co 15.131 4.765 2.933
La 0.650 0.205 0.126
La 4.097 1.290 0.794
```

Computed properties:
Its total energy is -4.90 eV per atom. As for the space group: R3m, No. 160.

***

Record 2
Here is a relaxed SrLi2Ca crystal from Alexandria via LeMat-Bulk. Energies are from GGA-PBE.

Structure (extended XYZ):
```
4
Lattice="-2.934 -2.359 -0.980 4.401 -4.421 -2.535 3.293 -5.483 3.341" Properties=species:S:1:pos:R:3 pbc="T T T"
Ca 1.646 -2.742 1.671
Li 0.000 0.000 0.000
Li 0.733 -3.390 -1.757
Sr 2.380 -6.132 -0.087
```

Computed properties:
As for the space group: P2/m, No. 10. The energy above the most stable polymorph in this dataset comes out at 12.4 kJ per mole of atoms.

***

| no. | volume (Å³/cell) |
| --- | --- |
| 1 | 114 |
| 2 | 148 |